1.
This record from Alexandria describes a geometry-optimized Ca2Ta2Pb structure. The functional is PBE.

Summary:
- energy relative to the elements (eV/f.u.) = 5.33
- SG = No. 139
- distance to the lowest polymorph of the same formula (meV/atom) = 525

abc: 4.279 4.279 7.932
angles: 74.35 74.35 90.00
Atoms (fractional coordinates):
Ta  0.581  0.581  0.838
Ta  0.419  0.419  0.162
Ca  0.750  0.250  0.500
Ca  0.250  0.750  0.500
Pb  0.000  0.000  0.000


2.
This record from Alexandria describes a geometry-optimized Dy2Er2SiIr4 structure. The functional is PBE.

Summary:
- energy relative to the elements, uncorrected (eV/atom) = -0.555
- SG = No. 139

abc: 6.340 6.340 6.340
angles: 90.99 119.43 119.43
Atoms (fractional coordinates):
Ir  0.000  0.255  0.745
Er  0.500  0.250  0.750
Si  0.000  0.000  0.000
Ir  0.491  0.745  0.745
Ir  0.509  0.255  0.255
Dy  0.000  0.691  0.691
Dy  0.000  0.309  0.309
Er  0.500  0.750  0.250
Ir  0.000  0.745  0.255


3.
This record from Alexandria describes a geometry-optimized CuRuBr2 structure. The functional is PBE.

Summary:
- energy relative to the elements, uncorrected (eV/atom) = 0.403
- SG = No. 38
- distance to the lowest polymorph of the same formula (meV/atom) = 149

abc: 3.794 4.861 4.854
angles: 64.28 90.00 90.00
Atoms (fractional coordinates):
Br  0.500  0.300  0.300
Cu  0.000  0.527  0.527
Ru  0.500  0.742  0.741
Br  0.000  0.932  0.932


What did the second record say?
This record from Alexandria describes a geometry-optimized Dy2Er2SiIr4 structure. The functional is PBE.

Summary:
- energy relative to the elements, uncorrected (eV/atom) = -0.555
- SG = No. 139

abc: 6.340 6.340 6.340
angles: 90.99 119.43 119.43
Atoms (fractional coordinates):
Ir  0.000  0.255  0.745
Er  0.500  0.250  0.750
Si  0.000  0.000  0.000
Ir  0.491  0.745  0.745
Ir  0.509  0.255  0.255
Dy  0.000  0.691  0.691
Dy  0.000  0.309  0.309
Er  0.500  0.750  0.250
Ir  0.000  0.745  0.255


> Number 3 is which compound?

CuRuBr2


> Which formula does entry 2 have?

Dy2Er2SiIr4